1.
NbGe2H: optimized geometry, PBE.

Values from the calculation:
Total energy ... -0.406 Ry per atom
SG ... No. 122

abc: 5.2559 5.2559 5.2559
angles: 109.84 109.84 108.73
Closest atoms and distances in Å follow each position.
Element x y z (fractional)
Nb: 0.0000 0.0000 0.0000  8 Ge 2.70-2.90
Nb: 0.7500 0.2500 0.5000  8 Ge 2.70-2.90
Ge: 0.2223 0.6250 0.0973  2 H 1.93
Ge: 0.3750 0.4723 0.5973  2 H 1.93
Ge: 0.5277 0.1250 0.9027  2 H 1.93
Ge: 0.8750 0.7777 0.4027  2 H 1.93
H: 0.2500 0.7500 0.5000  4 Ge 1.93
H: 0.5000 0.5000 0.0000  4 Ge 1.93



2.
Nb2NiGeH: optimized geometry, PBE.

Values from the calculation:
Total energy ... -0.516 Ry per atom
SG ... No. 123

abc: 4.0553 4.0553 3.9128
angles: 90.00 90.00 90.00
Closest atoms and distances in Å follow each position.
Element x y z (fractional)
Nb: 0.0000 0.5000 0.0000  2 H 2.03
Nb: 0.5000 0.0000 0.0000  2 H 2.03
Ni: 0.0000 0.0000 0.5000  2 H 1.96
Ge: 0.5000 0.5000 0.5000  8 Nb 2.82, 4 Ni 2.87
H: 0.0000 0.0000 0.0000  2 Ni 1.96, 4 Nb 2.03



3.
Nb2Ni5Ge3H2: optimized geometry, PBE.

Values from the calculation:
Total energy ... -0.451 Ry per atom
SG ... No. 139

abc: 10.5352 10.5352 10.5352
angles: 159.95 159.95 28.50
Closest atoms and distances in Å follow each position.
Element x y z (fractional)
Nb: 0.2009 0.2009 0.0000  1 H 2.33
Nb: 0.7991 0.7991 0.0000  1 H 2.33
Ni: 0.0000 0.0000 0.0000  2 H 1.77
Ni: 0.0885 0.5885 0.5000  2 H 1.83
Ni: 0.4115 0.9115 0.5000  2 H 1.83
Ni: 0.5885 0.0885 0.5000  2 H 1.83
Ni: 0.9115 0.4115 0.5000  2 H 1.83
Ge: 0.3313 0.3313 0.0000  4 Ni 2.46, 5 Nb 2.66-2.68
Ge: 0.5000 0.5000 0.0000  12 Ni 2.57-2.59
Ge: 0.6687 0.6687 0.0000  4 Ni 2.46, 5 Nb 2.66-2.68
H: 0.0868 0.0868 0.0000  5 Ni 1.77-1.83
H: 0.9132 0.9132 0.0000  5 Ni 1.77-1.83



4.
NbGeHPd2: optimized geometry, PBE.

Values from the calculation:
Total energy ... -0.438 Ry per atom
SG ... No. 123

abc: 3.8598 3.8598 4.4839
angles: 90.00 90.00 90.00
Closest atoms and distances in Å follow each position.
Element x y z (fractional)
Nb: 0.0000 0.0000 0.0000  2 H 2.24
Ge: 0.5000 0.5000 0.0000  4 Nb 2.73, 8 Pd 2.96
H: 0.0000 0.0000 0.5000  4 Pd 1.93
Pd: 0.0000 0.5000 0.5000  2 H 1.93
Pd: 0.5000 0.0000 0.5000  2 H 1.93



5.
NbGeHRh2: optimized geometry, PBE.

Values from the calculation:
Total energy ... -0.501 Ry per atom
SG ... No. 123

abc: 3.9232 3.9232 4.1533
angles: 90.00 90.00 90.00
Closest atoms and distances in Å follow each position.
Element x y z (fractional)
Nb: 0.0000 0.0000 0.0000  2 H 2.08
Ge: 0.5000 0.5000 0.0000  4 Nb 2.77, 8 Rh 2.86
H: 0.0000 0.0000 0.5000  4 Rh 1.96, 2 Nb 2.08
Rh: 0.0000 0.5000 0.5000  2 H 1.96
Rh: 0.5000 0.0000 0.5000  2 H 1.96



6.
Nb2GeHRh: optimized geometry, PBE.

Values from the calculation:
Total energy ... -0.543 Ry per atom
SG ... No. 123

abc: 4.0498 4.0498 4.1215
angles: 90.00 90.00 90.00
Closest atoms and distances in Å follow each position.
Element x y z (fractional)
Nb: 0.0000 0.5000 0.0000  2 H 2.02
Nb: 0.5000 0.0000 0.0000  2 H 2.02
Ge: 0.0000 0.0000 0.5000  4 Rh 2.86, 8 Nb 2.89
H: 0.5000 0.5000 0.0000  4 Nb 2.02, 2 Rh 2.06
Rh: 0.5000 0.5000 0.5000  2 H 2.06



7.
NbGeHRu2: optimized geometry, PBE.

Values from the calculation:
Total energy ... -0.543 Ry per atom
SG ... No. 123

abc: 4.0209 4.0209 3.9161
angles: 90.00 90.00 90.00
Closest atoms and distances in Å follow each position.
Element x y z (fractional)
Nb: 0.0000 0.0000 0.0000  2 H 1.96
Ge: 0.5000 0.5000 0.0000  8 Ru 2.81, 4 Nb 2.84
H: 0.0000 0.0000 0.5000  2 Nb 1.96, 4 Ru 2.01
Ru: 0.0000 0.5000 0.5000  2 H 2.01
Ru: 0.5000 0.0000 0.5000  2 H 2.01



8.
Nb2GeHRu: optimized geometry, PBE.

Values from the calculation:
Total energy ... -0.564 Ry per atom
SG ... No. 123

abc: 4.1255 4.1255 3.9624
angles: 90.00 90.00 90.00
Closest atoms and distances in Å follow each position.
Element x y z (fractional)
Nb: 0.0000 0.5000 0.0000  2 H 2.06
Nb: 0.5000 0.0000 0.0000  2 H 2.06
Ge: 0.0000 0.0000 0.5000  8 Nb 2.86, 4 Ru 2.92
H: 0.5000 0.5000 0.0000  2 Ru 1.98, 4 Nb 2.06
Ru: 0.5000 0.5000 0.5000  2 H 1.98



9.
Sc2NbGeH: optimized geometry, PBE.

Values from the calculation:
Total energy ... -0.482 Ry per atom
SG ... No. 123

abc: 4.4131 4.4131 3.9867
angles: 90.00 90.00 90.00
Closest atoms and distances in Å follow each position.
Element x y z (fractional)
Sc: 0.0000 0.5000 0.0000  2 H 2.21
Sc: 0.5000 0.0000 0.0000  2 H 2.21
Nb: 0.0000 0.0000 0.5000  2 H 1.99
Ge: 0.5000 0.5000 0.5000  8 Sc 2.97, 4 Nb 3.12
H: 0.0000 0.0000 0.0000  2 Nb 1.99, 4 Sc 2.21



10.
NbSn2GeH: optimized geometry, PBE.

Values from the calculation:
Total energy ... -0.362 Ry per atom
SG ... No. 123

abc: 4.9731 4.9731 3.6673
angles: 90.00 90.00 90.00
Closest atoms and distances in Å follow each position.
Element x y z (fractional)
Nb: 0.0000 0.0000 0.0000  2 H 1.83
Sn: 0.0000 0.5000 0.5000  2 H 2.49
Sn: 0.5000 0.0000 0.5000  2 H 2.49
Ge: 0.5000 0.5000 0.0000  8 Sn 3.09
H: 0.0000 0.0000 0.5000  2 Nb 1.83



11.
TaNb2GeH: optimized geometry, PBE.

Values from the calculation:
Total energy ... -0.602 Ry per atom
SG ... No. 123

abc: 4.1694 4.1694 4.1172
angles: 90.00 90.00 90.00
Closest atoms and distances in Å follow each position.
Element x y z (fractional)
Ta: 0.0000 0.0000 0.0000  2 H 2.06
Nb: 0.0000 0.5000 0.5000  2 H 2.08
Nb: 0.5000 0.0000 0.5000  2 H 2.08
Ge: 0.5000 0.5000 0.0000  8 Nb 2.93, 4 Ta 2.95
H: 0.0000 0.0000 0.5000  2 Ta 2.06, 4 Nb 2.08



12.
Nb2TcGeH: optimized geometry, PBE.

Values from the calculation:
Total energy ... -0.578 Ry per atom
SG ... No. 123

abc: 4.1372 4.1372 3.9646
angles: 90.00 90.00 90.00
Closest atoms and distances in Å follow each position.
Element x y z (fractional)
Nb: 0.0000 0.5000 0.0000  2 H 2.07
Nb: 0.5000 0.0000 0.0000  2 H 2.07
Tc: 0.0000 0.0000 0.5000  2 H 1.98
Ge: 0.5000 0.5000 0.5000  8 Nb 2.87, 4 Tc 2.93
H: 0.0000 0.0000 0.0000  2 Tc 1.98, 4 Nb 2.07



13.
Ti2NbGeH: optimized geometry, PBE.

Values from the calculation:
Total energy ... -0.529 Ry per atom
SG ... No. 123

abc: 4.2166 4.2166 3.7963
angles: 90.00 90.00 90.00
Closest atoms and distances in Å follow each position.
Element x y z (fractional)
Ti: 0.0000 0.5000 0.0000  2 H 2.11
Ti: 0.5000 0.0000 0.0000  2 H 2.11
Nb: 0.0000 0.0000 0.5000  2 H 1.90
Ge: 0.5000 0.5000 0.5000  8 Ti 2.84, 4 Nb 2.98
H: 0.0000 0.0000 0.0000  2 Nb 1.90, 4 Ti 2.11



14.
NbV2GeH: optimized geometry, PBE.

Values from the calculation:
Total energy ... -0.551 Ry per atom
SG ... No. 123

abc: 3.8959 3.8959 4.0576
angles: 90.00 90.00 90.00
Closest atoms and distances in Å follow each position.
Element x y z (fractional)
Nb: 0.0000 0.0000 0.0000  2 H 2.03
V: 0.0000 0.5000 0.5000  2 H 1.95
V: 0.5000 0.0000 0.5000  2 H 1.95
Ge: 0.5000 0.5000 0.0000  4 Nb 2.75, 8 V 2.81
H: 0.0000 0.0000 0.5000  4 V 1.95, 2 Nb 2.03



15.
Nb2VGeH: optimized geometry, PBE.

Values from the calculation:
Total energy ... -0.565 Ry per atom
SG ... No. 123

abc: 4.1524 4.1524 3.8695
angles: 90.00 90.00 90.00
Closest atoms and distances in Å follow each position.
Element x y z (fractional)
Nb: 0.0000 0.5000 0.0000  2 H 2.08
Nb: 0.5000 0.0000 0.0000  2 H 2.08
V: 0.0000 0.0000 0.5000  2 H 1.93
Ge: 0.5000 0.5000 0.5000  8 Nb 2.84, 4 V 2.94
H: 0.0000 0.0000 0.0000  2 V 1.93, 4 Nb 2.08



16.
Zr2NbGeH: optimized geometry, PBE.

Values from the calculation:
Total energy ... -0.547 Ry per atom
SG ... No. 123

abc: 4.5501 4.5501 3.8533
angles: 90.00 90.00 90.00
Closest atoms and distances in Å follow each position.
Element x y z (fractional)
Zr: 0.0000 0.5000 0.0000  2 H 2.28
Zr: 0.5000 0.0000 0.0000  2 H 2.28
Nb: 0.0000 0.0000 0.5000  2 H 1.93
Ge: 0.5000 0.5000 0.5000  8 Zr 2.98, 4 Nb 3.22
H: 0.0000 0.0000 0.0000  2 Nb 1.93



17.
Nd3GeH: optimized geometry, PBE.

Values from the calculation:
Total energy ... -0.356 Ry per atom
SG ... No. 65

abc: 7.9333 7.9333 4.0868
angles: 90.00 90.00 107.35
Closest atoms and distances in Å follow each position.
Element x y z (fractional)
Nd: 0.1745 0.8255 0.0000  2 H 2.54
Nd: 0.1892 0.4317 0.5000  2 H 2.68
Nd: 0.4317 0.1892 0.5000  2 H 2.68
Nd: 0.5683 0.8108 0.5000  2 H 2.68
Nd: 0.8108 0.5683 0.5000  2 H 2.68
Nd: 0.8255 0.1745 0.0000  2 H 2.54
Ge: 0.0000 0.0000 0.5000  8 Nd 3.03-3.30
Ge: 0.5000 0.5000 0.0000  8 Nd 3.12
H: 0.0000 0.5000 0.0000  6 Nd 2.54-2.68
H: 0.5000 0.0000 0.0000  6 Nd 2.54-2.68



18.
Nd4GeH: optimized geometry, PBE.

Values from the calculation:
Total energy ... -0.353 Ry per atom
SG ... No. 2

abc: 6.9942 7.1593 7.6689
angles: 105.39 117.05 90.02
Closest atoms and distances in Å follow each position.
Element x y z (fractional)
Nd: 0.0287 0.4783 0.2160  1 H 2.24
Nd: 0.1869 0.9781 0.2162  1 H 2.25
Nd: 0.2725 0.8455 0.7208  1 H 2.73
Nd: 0.4486 0.3455 0.7206  1 H 2.73
Nd: 0.5514 0.6545 0.2794  1 H 2.73
Nd: 0.7275 0.1545 0.2792  1 H 2.73
Nd: 0.8131 0.0219 0.7838  1 H 2.25
Nd: 0.9713 0.5217 0.7840  1 H 2.24
Ge: 0.2854 0.2499 0.0001  8 Nd 3.06-3.15
Ge: 0.7146 0.7501 0.9999  8 Nd 3.06-3.15
H: 0.0000 0.5000 0.5000  2 Nd 2.24
H: 0.5000 0.0000 0.5000  2 Nd 2.25



19.
Nd3GeH2: optimized geometry, PBE.

Values from the calculation:
Total energy ... -0.352 Ry per atom
SG ... No. 59

abc: 5.0006 12.4853 3.9775
angles: 90.00 90.00 90.00
Closest atoms and distances in Å follow each position.
Element x y z (fractional)
Nd: 0.2500 0.0601 0.2436  4 H 2.43-2.50
Nd: 0.2500 0.4399 0.2436  4 H 2.43-2.50
Nd: 0.2500 0.7500 0.6922  2 H 2.45
Nd: 0.7500 0.2500 0.3078  2 H 2.45
Nd: 0.7500 0.5601 0.7564  4 H 2.43-2.50
Nd: 0.7500 0.9399 0.7564  4 H 2.43-2.50
Ge: 0.2500 0.2500 0.7614  8 Nd 3.05-3.31
Ge: 0.7500 0.7500 0.2386  8 Nd 3.05-3.31
H: 0.2500 0.5544 0.7391  5 Nd 2.43-2.50
H: 0.2500 0.9456 0.7391  5 Nd 2.43-2.50
H: 0.7500 0.0544 0.2609  5 Nd 2.43-2.50
H: 0.7500 0.4456 0.2609  5 Nd 2.43-2.50



20.
Nd3GeH: optimized geometry, PBE.

Values from the calculation:
Total energy ... -0.357 Ry per atom
SG ... No. 221

abc: 4.8697 4.8697 4.8697
angles: 90.00 90.00 90.00
Closest atoms and distances in Å follow each position.
Element x y z (fractional)
Nd: 0.0000 0.0000 0.5000  2 H 2.43
Nd: 0.0000 0.5000 0.0000  2 H 2.43
Nd: 0.5000 0.0000 0.0000  2 H 2.43
Ge: 0.5000 0.5000 0.5000  12 Nd 3.44
H: 0.0000 0.0000 0.0000  6 Nd 2.43